Compound: KNpAu2
Source: Alexandria via LeMat-Bulk
Functional: GGA-PBE
Structure: relaxed

Unit cell a=3.681 b=3.681 c=8.188 alpha=90.00 beta=90.00 gamma=90.00
Site moments in Bohr magnetons follow the coordinates.
Element x y z (fractional)
Np 0.500 0.500 0.000  4.06
K 0.500 0.500 0.500  0.01
Au 0.000 0.000 0.801  0.04
Au 0.000 0.000 0.199  0.04

Computed properties:
- DFT formation energy (eV per formula unit) = -0.368
- magnetization (μB per formula unit) = 4.591
- E (eV/cell) = -21.0
- SG = P4/mmm, No. 123



Compound: KNpAu10
Source: Alexandria via LeMat-Bulk
Functional: GGA-PBE
Structure: relaxed

Unit cell a=4.656 b=5.662 c=9.869 alpha=90.00 beta=90.00 gamma=90.00
Site moments in Bohr magnetons follow the coordinates.
Element x y z (fractional)
K 0.000 0.000 0.000  0.00
Np 0.000 0.500 0.500  4.21
Au 0.000 0.000 0.338  0.01
Au 0.000 0.500 0.826  0.01
Au 0.000 0.500 0.174  0.01
Au 0.000 0.000 0.662  0.01
Au 0.500 0.000 0.500  0.02
Au 0.500 0.500 0.000  0.01
Au 0.500 0.255 0.257  0.02
Au 0.500 0.745 0.743  0.02
Au 0.500 0.745 0.257  0.02
Au 0.500 0.255 0.743  0.02

Computed properties:
- DFT formation energy (eV per formula unit) = -1.503
- magnetization (μB per formula unit) = 4.685
- E (eV/cell) = -48.3
- SG = Pmmm, No. 47



Compound: KNpAuO6
Source: Alexandria via LeMat-Bulk
Functional: GGA-PBE
Structure: relaxed

Unit cell a=7.269 b=7.964 c=7.665 alpha=121.30 beta=118.30 gamma=90.00
Element x y z (fractional)
K 0.920 0.670 0.841
K 0.080 0.330 0.159
Np 0.500 0.500 0.000
Np 0.500 0.000 0.000
Au 0.500 0.000 0.500
Au 0.000 0.000 0.500
O 0.434 0.684 0.867
O 0.829 0.079 0.658
O 0.814 0.053 0.230
O 0.416 0.677 0.230
O 0.416 0.053 0.230
O 0.814 0.677 0.230
O 0.566 0.316 0.133
O 0.171 0.921 0.342
O 0.186 0.947 0.770
O 0.584 0.323 0.770
O 0.584 0.947 0.770
O 0.186 0.323 0.770

Computed properties:
- magnetization (μB per formula unit) = 0.052
- E (eV/cell) = -120.6
- SG = Imma, No. 74



Compound: KNpAuO5
Source: Alexandria via LeMat-Bulk
Functional: GGA-PBE
Structure: relaxed

Unit cell a=6.167 b=6.167 c=8.154 alpha=99.98 beta=99.98 gamma=116.29
Element x y z (fractional)
K 0.314 0.686 0.250
K 0.686 0.314 0.750
Np 0.000 0.000 0.500
Np 0.000 0.000 0.000
Au 0.671 0.329 0.250
Au 0.329 0.671 0.750
O 0.055 0.945 0.250
O 0.945 0.055 0.750
O 0.855 0.220 0.074
O 0.145 0.780 0.926
O 0.780 0.145 0.426
O 0.220 0.855 0.574
O 0.705 0.656 0.425
O 0.295 0.344 0.575
O 0.344 0.295 0.075
O 0.656 0.705 0.925

Computed properties:
- magnetization (μB per formula unit) = 0.000
- E (eV/cell) = -111.3
- SG = C2/c, No. 15



Compound: K2NpAu2O6
Source: Alexandria via LeMat-Bulk
Functional: GGA-PBE
Structure: relaxed

Unit cell a=6.418 b=6.418 c=6.798 alpha=61.83 beta=61.83 gamma=60.00
Element x y z (fractional)
K 0.787 0.787 0.640
K 0.213 0.213 0.360
Np 0.000 0.000 0.000
Au 0.412 0.412 0.763
Au 0.588 0.588 0.237
O 0.783 0.783 0.223
O 0.212 0.783 0.223
O 0.783 0.212 0.223
O 0.217 0.788 0.777
O 0.788 0.217 0.777
O 0.217 0.217 0.777

Computed properties:
- magnetization (μB per formula unit) = 0.000
- E (eV/cell) = -66.9
- SG = R-3m, No. 166



Compound: K2Np3AuS8
Source: Alexandria via LeMat-Bulk
Functional: GGA-PBE
Structure: relaxed

Unit cell a=7.996 b=7.996 c=9.059 alpha=63.81 beta=63.81 gamma=60.00
Site moments in Bohr magnetons follow the coordinates.
Element x y z (fractional)
K 0.132 0.132 0.605  0.00
K 0.493 0.493 0.520  0.00
Np 0.494 0.996 0.016  3.08
Np 0.996 0.494 0.016  3.08
Np 0.494 0.494 0.016  3.08
Au 0.935 0.935 0.195  -0.08
S 0.267 0.267 0.199  -0.11
S 0.720 0.720 0.841  -0.12
S 0.239 0.239 0.833  -0.14
S 0.689 0.239 0.833  -0.14
S 0.239 0.689 0.833  -0.14
S 0.755 0.286 0.205  -0.12
S 0.286 0.755 0.205  -0.12
S 0.755 0.755 0.205  -0.12

Computed properties:
- magnetization (μB per formula unit) = 8.000
- E (eV/cell) = -92.9
- SG = R3m, No. 160



Compound: K3Np3AuS8
Source: Alexandria via LeMat-Bulk
Functional: GGA-PBE
Structure: relaxed

Unit cell a=7.716 b=8.095 c=8.878 alpha=118.92 beta=90.00 gamma=118.46
Site moments in Bohr magnetons follow the coordinates.
Element x y z (fractional)
K 0.000 0.000 0.000  0.00
K 0.000 0.500 0.000  0.00
K 0.500 0.500 0.000  0.00
Np 0.500 0.000 0.500  3.44
Np 0.500 0.500 0.500  3.38
Np 0.000 0.500 0.500  3.38
Au 0.000 0.000 0.500  -0.15
S 0.268 0.536 0.298  -0.09
S 0.732 0.464 0.702  -0.09
S 0.726 0.452 0.277  -0.13
S 0.274 0.548 0.723  -0.13
S 0.777 0.042 0.313  -0.13
S 0.223 0.958 0.687  -0.13
S 0.264 0.042 0.313  -0.13
S 0.736 0.958 0.687  -0.13

Computed properties:
- magnetization (μB per formula unit) = 9.144
- E (eV/cell) = -95.6
- SG = C2/m, No. 12



Compound: KNpAu2S4
Source: Alexandria via LeMat-Bulk
Functional: GGA-PBE
Structure: relaxed

Unit cell a=6.226 b=6.711 c=6.711 alpha=73.51 beta=62.36 gamma=62.36
Site moments in Bohr magnetons follow the coordinates.
Element x y z (fractional)
K 0.000 0.000 0.000  0.00
Np 0.500 0.500 0.500  2.88
Au 0.164 0.336 0.336  -0.08
Au 0.836 0.664 0.664  -0.08
S 0.473 0.130 0.503  -0.12
S 0.106 0.870 0.497  -0.12
S 0.894 0.503 0.130  -0.12
S 0.527 0.497 0.870  -0.12

Computed properties:
- magnetization (μB per formula unit) = 2.092
- E (eV/cell) = -41.7
- SG = I222, No. 23



Compound: K3Np2AuS6
Source: Alexandria via LeMat-Bulk
Functional: GGA-PBE
Structure: relaxed

Unit cell a=7.241 b=7.241 c=7.551 alpha=96.97 beta=96.97 gamma=124.45
Site moments in Bohr magnetons follow the coordinates.
Element x y z (fractional)
K 0.150 0.850 0.500  0.00
K 0.850 0.150 0.500  0.00
K 0.500 0.500 0.500  0.00
Np 0.333 0.667 0.000  3.32
Np 0.667 0.333 0.000  3.32
Au 0.000 0.000 0.000  -0.05
S 0.938 0.549 0.784  -0.11
S 0.741 0.741 0.176  -0.07
S 0.062 0.451 0.216  -0.11
S 0.549 0.938 0.784  -0.11
S 0.259 0.259 0.824  -0.07
S 0.451 0.062 0.216  -0.11

Computed properties:
- magnetization (μB per formula unit) = 6.000
- E (eV/cell) = -70.8
- SG = C2/m, No. 12



Compound: KNpAuS2
Source: Alexandria via LeMat-Bulk
Functional: GGA-PBE
Structure: relaxed

Unit cell a=5.259 b=7.327 c=7.564 alpha=101.85 beta=90.00 gamma=90.00
Site moments in Bohr magnetons follow the coordinates.
Element x y z (fractional)
K 0.162 0.500 0.750  0.01
K 0.838 0.500 0.250  0.01
Np 0.489 0.000 0.250  4.14
Np 0.511 0.000 0.750  4.14
Au 0.000 0.000 0.000  0.11
Au 0.000 0.000 0.500  0.11
S 0.684 0.755 0.956  -0.03
S 0.684 0.245 0.544  -0.03
S 0.316 0.755 0.456  -0.03
S 0.316 0.245 0.044  -0.03

Computed properties:
- magnetization (μB per formula unit) = 4.750
- E (eV/cell) = -59.1
- SG = P2/c, No. 13



Compound: KNp4Au3Se12
Source: Alexandria via LeMat-Bulk
Functional: GGA-PBE
Structure: relaxed

Unit cell a=8.988 b=8.988 c=8.988 alpha=109.47 beta=109.47 gamma=109.47
Site moments in Bohr magnetons follow the coordinates.
Element x y z (fractional)
K 0.000 0.000 0.000  0.00
Np 0.500 0.000 0.000  3.45
Np 0.500 0.500 0.500  3.45
Np 0.000 0.500 0.000  3.45
Np 0.000 0.000 0.500  3.45
Au 0.000 0.500 0.500  0.10
Au 0.500 0.500 0.000  0.10
Au 0.500 0.000 0.500  0.10
Se 0.316 0.833 0.149  -0.08
Se 0.684 0.167 0.851  -0.08
Se 0.684 0.833 0.517  -0.08
Se 0.851 0.684 0.167  -0.08
Se 0.833 0.149 0.316  -0.08
Se 0.167 0.483 0.316  -0.08
Se 0.483 0.316 0.167  -0.08
Se 0.167 0.851 0.684  -0.08
Se 0.316 0.167 0.483  -0.08
Se 0.149 0.316 0.833  -0.08
Se 0.833 0.517 0.684  -0.08
Se 0.517 0.684 0.833  -0.08

Computed properties:
- magnetization (μB per formula unit) = 13.381
- E (eV/cell) = -117.2
- SG = Im-3, No. 204



Compound: KNpAuSe3
Source: Alexandria via LeMat-Bulk
Functional: GGA-PBE
Structure: relaxed

Unit cell a=4.206 b=7.723 c=10.723 alpha=90.00 beta=90.00 gamma=105.80
Site moments in Bohr magnetons follow the coordinates.
Element x y z (fractional)
K 0.750 0.500 0.750  0.00
K 0.250 0.500 0.250  0.00
Np 0.000 0.000 0.500  3.42
Np 0.000 0.000 0.000  3.42
Au 0.455 0.909 0.750  -0.07
Au 0.545 0.091 0.250  -0.07
Se 0.628 0.256 0.460  -0.10
Se 0.372 0.744 0.540  -0.10
Se 0.372 0.744 0.960  -0.10
Se 0.628 0.256 0.040  -0.10
Se 0.068 0.136 0.750  -0.11
Se 0.932 0.864 0.250  -0.11

Computed properties:
- magnetization (μB per formula unit) = 3.000
- E (eV/cell) = -67.0
- SG = Cmcm, No. 63